The following is a PBE+U calculation of BeInCoNF after structural relaxation, from Alexandria.

## Properties
final energy	-5.1254	eV/atom
E above lowest polymorph	0.000	eV/atom
space group	Amm2 (38)
size of the total moment	1.94	μB per formula unit

a = 3.038 Å, b = 2.826 Å, c = 15.204 Å
α = 90.00°, β = 90.00°, γ = 90.00°
Element x y z (fractional)
Be: 0.000 0.000 0.418
Be: 0.000 0.500 0.918
N: 0.500 0.000 0.472
N: 0.500 0.500 0.972
In: 0.000 0.000 0.680
In: 0.000 0.500 0.180
Co: 0.500 0.000 0.051
Co: 0.500 0.500 0.551
F: 0.000 0.500 0.357
F: 0.000 0.000 0.857